# PBE-GGA CoMoRu2, optimized geometry
# Total magnetization, Bohr magnetons per cell: 1.68
# Formation energy from the elements, meV/atom: 148
# VASP energy, eV/atom: -8.97
# Density of states at the Fermi level, states/eV/cell: 9.5
# Energy relative to the lowest polymorph listed for this composition, eV/f.u.: 0.57
# Volume, Å³/atom: 13.730
data_CoMoRu2
_chemical_formula_sum 'Co2 Mo2 Ru4'
_space_group_name_H-M_alt 'C m m m'
_space_group_IT_number 65
_space_group_name_Hall '-C 2 2'
_cell_length_a 5.4141
_cell_length_b 7.3915
_cell_length_c 2.7446
_cell_angle_alpha 90.00
_cell_angle_beta 90.00
_cell_angle_gamma 90.00
loop_
_atom_site_label
_atom_site_type_symbol
_atom_site_fract_x
_atom_site_fract_y
_atom_site_fract_z
_atom_site_occupancy
Co1 Co 0.0000 0.0000 0.0000 1
Mo1 Mo 0.0000 0.5000 0.0000 1
Ru1 Ru 0.2500 0.2500 0.5000 1